[1]
This record from the Alexandria database describes a relaxed Zr2TlCr crystal. The functional is GGA-PBE.

a = 4.4280 Å, b = 4.4280 Å, c = 4.2317 Å
α = 90.00°, β = 90.00°, γ = 90.00°
Space group P4/mmm (No. 123)
Unique sites:
Zr 0.0000 0.5000 0.0000 [2 per cell]
Tl 0.0000 0.0000 0.5000 [1 per cell]
Cr 0.5000 0.5000 0.5000 [1 per cell]

Summary:
- Volume: 20.74 A^3/atom
- ΔE to the lowest computed polymorph: 103 meV/atom
- Spin magnetization: 0.613 μB per atom
- Calculated total energy: -7.1185 eV/atom
- Energy of formation from the pure elements: 14.76 kJ/mol of atoms

---

[2]
This record from the Alexandria database describes a relaxed Zr2TlCr crystal. The functional is GGA-PBE.

a = 4.3516 Å, b = 4.3516 Å, c = 8.7882 Å
α = 90.00°, β = 90.00°, γ = 90.00°
Space group I4/mmm (No. 139)
Unique sites:
Zr 0.0000 0.5000 0.2500 [4 per cell]
Tl 0.0000 0.0000 0.0000 [2 per cell]
Cr 0.0000 0.0000 0.5000 [2 per cell]

Summary:
- Volume: 20.80 A^3/atom
- ΔE to the lowest computed polymorph: 95 meV/atom
- Spin magnetization: 0.639 μB per atom
- Calculated total energy: -7.1260 eV/atom
- Energy of formation from the pure elements: 14.03 kJ/mol of atoms

---

Question: Look up the calculated total energy of the first one.
Answer: -7.1185 eV/atom